A relaxed La4Te2PtSe crystal. Source: Alexandria, functional GGA-PBE. Values from VASP.

Cell and atoms, written as Quantum ESPRESSO input:
```
&SYSTEM
  ibrav = 0, nat = 8, ntyp = 4
/
ATOMIC_SPECIES
La 138.91 La.upf
Te 127.60 Te.upf
Se 78.96 Se.upf
Pt 195.08 Pt.upf
CELL_PARAMETERS angstrom
4.3391 0.0000 0.0000
0.0000 7.8837 -0.1901
0.0000 2.7430 7.2573
ATOMIC_POSITIONS crystal
La 0.0000 0.7166 0.7739
Te 0.5000 0.0000 0.5000
La 0.5000 0.7317 0.2577
La 0.0000 0.2834 0.2261
Te 0.0000 0.0000 0.0000
Se 0.0000 0.5000 0.5000
La 0.5000 0.2683 0.7423
Pt 0.5000 0.5000 0.0000
```

Properties
Crystal system: monoclinic
Uncorrected formation energy (eV per atom): -1.581
Magnetization (μB/atom): 0.000
Density of states at the Fermi level (states/eV/atom): 0.738